Record 1
CuNi7Sb2As2 | PBE | optimized geometry

Calculated values
formation energy without anion corrections = -0.112 eV per atom
energy = -5.287 eV/atom
spin magnetization = 0.000 μB/f.u.
space group = I4/mmm (139)

a = 3.618 Å, b = 3.618 Å, c = 14.402 Å
α = 82.74°, β = 82.74°, γ = 89.98°
Atoms (fractional coordinates):
Cu 0.000 0.000 0.000
Ni 0.500 0.500 0.000
Ni 0.305 0.305 0.391
Ni 0.695 0.695 0.609
Ni 0.938 0.438 0.124
Ni 0.438 0.938 0.124
Ni 0.562 0.062 0.876
Ni 0.062 0.562 0.876
Sb 0.788 0.788 0.424
Sb 0.212 0.212 0.576
As 0.614 0.614 0.773
As 0.386 0.386 0.227

=====

Record 2
CsAgBiTe | PBE | optimized geometry

Calculated values
formation energy without anion corrections = -0.373 eV per atom
energy = -3.055 eV/atom
spin magnetization = 0.000 μB/f.u.
space group = P4/nmm (129)

a = 4.553 Å, b = 4.553 Å, c = 14.944 Å
α = 90.00°, β = 90.00°, γ = 90.00°
Atoms (fractional coordinates):
Cs 0.750 0.750 0.254
Cs 0.250 0.250 0.746
Ag 0.750 0.250 0.000
Ag 0.250 0.750 0.000
Bi 0.250 0.750 0.500
Bi 0.750 0.250 0.500
Te 0.750 0.750 0.883
Te 0.250 0.250 0.117

=====

Record 3
MgAsRuBr2 | PBE | optimized geometry

Calculated values
formation energy without anion corrections = 0.131 eV per atom
relative energy among the computed polymorphs = 0 meV/atom
energy = -3.642 eV/atom
spin magnetization = 0.000 μB/f.u.
space group = P4/mmm (123)

a = 5.238 Å, b = 5.238 Å, c = 4.666 Å
α = 90.00°, β = 90.00°, γ = 90.00°
Atoms (fractional coordinates):
Ru 0.000 0.000 0.000
As 0.000 0.000 0.500
Mg 0.500 0.500 0.500
Br 0.000 0.500 0.000
Br 0.500 0.000 0.000

=====

Record 4
Rb4Tb3ScO8 | PBE | optimized geometry

Calculated values
formation energy without anion corrections = -2.658 eV per atom
energy = -6.643 eV/atom
spin magnetization = 0.000 μB/f.u.
space group = R-3m (166)

a = 6.947 Å, b = 7.675 Å, c = 6.947 Å
α = 116.91°, β = 120.00°, γ = 90.00°
Atoms (fractional coordinates):
Rb 0.500 0.000 0.000
Rb 0.500 0.000 0.500
Rb 0.000 0.000 0.000
Rb 0.000 0.000 0.500
Tb 0.500 0.500 0.000
Tb 0.500 0.500 0.500
Tb 0.000 0.500 0.500
Sc 0.000 0.500 0.000
O 0.218 0.673 0.955
O 0.218 0.673 0.436
O 0.274 0.323 0.549
O 0.737 0.673 0.955
O 0.263 0.327 0.045
O 0.726 0.677 0.451
O 0.782 0.327 0.564
O 0.782 0.327 0.045